## ScFeBi2O6 (PBE+U)

Data for a geometry-optimized ScFeBi2O6 structure.

a = 5.6302 Å, b = 5.6258 Å, c = 5.7089 Å
α = 60.42°, β = 60.50°, γ = 59.97°
Last column: nearest neighbours and their distance in Å.
Fractional coordinates of all 10 atoms:
Sc 0.8106 0.8113 0.5677  6 O 2.05-2.19
O 0.4889 0.6326 0.7748  1 Fe 1.98, 1 Sc 2.06
O 0.1026 0.4890 0.7766  1 Fe 1.98, 1 Sc 2.06
O 0.1511 0.0010 0.2603  1 Fe 2.00, 1 Sc 2.19
O 0.0024 0.5885 0.2593  1 Fe 2.00, 1 Sc 2.19
O 0.6353 0.1002 0.7776  1 Fe 1.99, 1 Sc 2.05
O 0.5871 0.1491 0.2601  1 Fe 1.99, 1 Sc 2.18
Bi 0.0296 0.0318 0.9047  6 O 2.33-2.50
Bi 0.5345 0.5383 0.3925  6 O 2.36-2.49
Fe 0.3196 0.3197 0.0416  6 O 1.98-2.00

Output
Electronic total energy = -0.243 Ha/atom
Crystal system = triclinic
Symmetry = No. 1